First-principles (PBE) data for crystalline CsBeZn3 at its relaxed geometry, as listed in Alexandria via LeMat-Bulk.

Cell: 4.854 4.854 4.854 Å, 90.00 90.00 90.00°
Fractional coordinates of all 5 atoms:
Cs  0.000  0.000  0.000
Be  0.500  0.500  0.500
Zn  0.000  0.500  0.500
Zn  0.500  0.000  0.500
Zn  0.500  0.500  0.000

Values from the calculation:
**E**: -6.79 eV/cell
**Formation enthalpy at 0 K**: 0.32 eV/atom
**Crystal system**: cubic
**Space-group type**: Pm-3m, No. 221
**M_tot**: 0.000 μB/atom



First-principles (PBE) data for crystalline CsBeZn3 at its relaxed geometry, as listed in Alexandria via LeMat-Bulk.

Cell: 6.958 6.958 6.958 Å, 90.00 90.00 90.00°
Fractional coordinates of all 5 atoms:
Cs  0.000  0.000  0.000
Be  0.500  0.500  0.500
Zn  0.000  0.000  0.500
Zn  0.000  0.500  0.000
Zn  0.500  0.000  0.000

Values from the calculation:
**E**: -1.65 eV/cell
**Formation enthalpy at 0 K**: 1.35 eV/atom
**Crystal system**: cubic
**Space-group type**: Pm-3m, No. 221
**M_tot**: 0.000 μB/atom